(1)
Material: TaBe2W
Method: DFT, PBE
State: optimized geometry

**Energy above the most stable polymorph in this dataset**: 0.6339 eV/atom

Cell: 2.653 4.107 5.080 Å, 90.00 90.00 90.00°
Fractional coordinates of all 4 atoms:
Ta (0.000, 0.000, 0.000)
Be (0.000, 0.000, 0.497)
Be (0.500, 0.500, 0.780)
W (0.500, 0.500, 0.288)


(2)
Material: HfSc2Al
Method: DFT, PBE
State: optimized geometry

Cell: 10.915 10.915 10.915 Å, 16.30 16.30 16.30°
Fractional coordinates of all 4 atoms:
Hf (0.000, 0.000, 0.000)
Sc (0.095, 0.095, 0.095)
Sc (0.905, 0.905, 0.905)
Al (0.500, 0.500, 0.500)


(3)
Material: PIr2Pb
Method: DFT, PBE
State: optimized geometry

**Energy above the most stable polymorph in this dataset**: 0.0433 eV/atom

Cell: 3.761 3.761 6.465 Å, 106.83 106.83 59.86°
Fractional coordinates of all 4 atoms:
P (0.000, 0.000, 0.000)
Ir (0.283, 0.283, 0.850)
Ir (0.717, 0.717, 0.150)
Pb (0.500, 0.500, 0.500)


(4)
Material: Tm5ZnHg6
Method: DFT, PBE
State: optimized geometry

Cell: 8.872 8.872 5.061 Å, 106.01 106.01 49.02°
Fractional coordinates of all 12 atoms:
Tm (0.000, 0.000, 0.000)
Tm (0.170, 0.170, 0.670)
Tm (0.341, 0.341, 0.340)
Tm (0.659, 0.659, 0.660)
Tm (0.830, 0.830, 0.330)
Zn (0.500, 0.500, 0.000)
Hg (0.091, 0.581, 0.835)
Hg (0.251, 0.749, 0.500)
Hg (0.419, 0.909, 0.165)
Hg (0.581, 0.091, 0.835)
Hg (0.749, 0.251, 0.500)
Hg (0.909, 0.419, 0.165)


Total DFT energy (no corrections) across the listed records, respectively: -7.66; -6.47; -6.72; -2.52 eV/atom.
Magnetization across the listed records, respectively: 0.00; 0.00; 0.00; 0.00 μB per cell.